Here is an optimized crystal structure of GaS2F from Alexandria. Energies are from PBEsol.

Its calculated volume is 214.11 Å³/cell. The calculation puts the formation energy from raw total energies at -72.5 kJ/mol of formula units. The energy relative to the lowest polymorph listed for this composition is 0.010 eV per atom. As for the magnetization: 0.000 μB per atom. As for the total energy: -3.697 eV per atom.

abc: 5.9825 5.9825 5.9825
angles: 90.00 90.00 90.00
Space group Fm-3m (No. 225)
Asymmetric unit:
Ga  0.0000  0.0000  0.0000 x4
S  0.2500  0.2500  0.2500 x8
F  0.0000  0.0000  0.5000 x4

Here is an optimized crystal structure of Ta3InAg from Alexandria. Energies are from PBEsol.

Its calculated volume is 113.08 Å³/cell. For the formation energy, the calculation gives 1.758 eV/atom. As for the magnetization: 0.000 μB per atom. As for the total energy: -7.032 eV per atom.

abc: 4.8357 4.8357 4.8357
angles: 90.00 90.00 90.00
Space group Pm-3m (No. 221)
Asymmetric unit:
Ta  0.0000  0.0000  0.5000 x3
In  0.5000  0.5000  0.5000 x1
Ag  0.0000  0.0000  0.0000 x1

Here is an optimized crystal structure of CsPPbO4 from Alexandria. Energies are from PBEsol.

Its calculated volume is 500.09 Å³/cell. The calculation puts the formation energy from raw total energies at -1381.0 kJ/mol of formula units. As for the magnetization: 0.000 μB per atom. As for the total energy: -6.578 eV per atom.

abc: 9.8273 5.6645 8.9836
angles: 90.00 90.00 90.00
Space group Pnma (No. 62)
Asymmetric unit:
Cs  0.0233  0.2500  0.1482 x4
P  0.1676  0.7500  0.4125 x4
Pb  0.1588  0.2500  0.5941 x4
O  0.0575  0.7500  0.5385 x4
O  0.0994  0.7500  0.2576 x4
O  0.2414  0.0257  0.9321 x8

Here is an optimized crystal structure of CuTc2Sb from Alexandria. Energies are from PBEsol.

Its calculated volume is 118.14 Å³/cell. The calculation puts the formation energy from raw total energies at 124.6 kJ/mol of formula units. As for the magnetization: 0.000 μB per atom. As for the total energy: -7.533 eV per atom.

abc: 3.2737 4.2530 8.4852
angles: 90.00 90.00 90.00
Space group Imm2 (No. 44)
Asymmetric unit:
Cu  0.0000  0.0000  0.0000 x2
Tc  0.0000  0.0000  0.4925 x2
Tc  0.0000  0.5000  0.2513 x2
Sb  0.0000  0.5000  0.7381 x2

Here is an optimized crystal structure of Sc3Tc from Alexandria. Energies are from PBEsol.

Its calculated volume is 225.99 Å³/cell. For the formation energy, the calculation gives 0.105 eV/atom. As for the magnetization: 0.000 μB per atom. As for the total energy: -7.665 eV per atom.

abc: 9.3658 9.3658 2.9748
angles: 90.00 90.00 120.00
Space group R-3m (No. 166, hexagonal axes)
Asymmetric unit:
Sc  0.0000  0.5000  0.0000 x9
Tc  0.0000  0.0000  0.0000 x3

Here is an optimized crystal structure of Sr4Ti3O10 from Alexandria. Energies are from PBEsol.

Its calculated volume is 425.45 Å³/cell. The calculation puts the formation energy from raw total energies at -5190.9 kJ/mol of formula units. As for the magnetization: 0.000 μB per atom. As for the total energy: -8.154 eV per atom.

abc: 3.8954 3.8954 28.0379
angles: 90.00 90.00 90.00
Space group I4/mmm (No. 139)
Asymmetric unit:
Sr  0.0000  0.0000  0.0685 x4
Sr  0.0000  0.0000  0.2023 x4
Ti  0.0000  0.0000  0.3597 x4
Ti  0.0000  0.0000  0.5000 x2
O  0.0000  0.0000  0.2903 x4
O  0.0000  0.0000  0.4304 x4
O  0.0000  0.5000  0.0000 x4
O  0.0000  0.5000  0.1390 x8

Here is an optimized crystal structure of TbCoSn2 from Alexandria. Energies are from PBEsol.

Its calculated volume is 340.47 Å³/cell. For the formation energy, the calculation gives -0.455 eV/atom. As for the magnetization: 0.000 μB per atom. As for the total energy: -5.772 eV per atom.

abc: 4.2961 18.0152 4.3991
angles: 90.00 90.00 90.00
Space group Cmcm (No. 63)
Asymmetric unit:
Tb  0.0000  0.1139  0.2500 x4
Co  0.0000  0.3202  0.2500 x4
Sn  0.0000  0.2513  0.7500 x4
Sn  0.0000  0.4523  0.2500 x4

Here is an optimized crystal structure of Ba2CaSb from Alexandria. Energies are from PBEsol.

Its calculated volume is 342.96 Å³/cell. The calculation puts the formation energy from raw total energies at -221.2 kJ/mol of formula units. As for the magnetization: 0.000 μB per atom. As for the total energy: -3.320 eV per atom.

abc: 4.9151 5.0511 13.8144
angles: 90.00 90.00 90.00
Space group Amm2 (No. 38)
Asymmetric unit:
Ba  0.0000  0.0000  0.0000 x2
Ba  0.5000  0.0000  0.3053 x2
Ca  0.0000  0.0000  0.7003 x2
Sb  0.5000  0.0000  0.5656 x2

Here is an optimized crystal structure of MgNb2TcHg from Alexandria. Energies are from PBEsol.

Its calculated volume is 98.14 Å³/cell. For the formation energy, the calculation gives 1.731 eV/atom. As for the magnetization: 0.001 μB per atom. As for the total energy: -5.307 eV per atom.

abc: 4.6928 4.6928 4.4565
angles: 90.00 90.00 90.00
Space group P4/mmm (No. 123)
Asymmetric unit:
Mg  0.0000  0.0000  0.0000 x1
Nb  0.0000  0.5000  0.0000 x2
Tc  0.0000  0.0000  0.5000 x1
Hg  0.5000  0.5000  0.5000 x1

Here is an optimized crystal structure of Cr4OF11 from Alexandria. Energies are from PBEsol.

Its calculated volume is 361.31 Å³/cell. The calculation puts the formation energy from raw total energies at -3880.1 kJ/mol of formula units. The energy relative to the lowest polymorph listed for this composition is 0.000 eV per atom. As for the magnetization: 0.688 μB per atom. As for the total energy: -6.727 eV per atom.

abc: 4.9113 5.1897 16.2809
angles: 84.69 81.33 61.76
Space group P-1 (No. 2)
Asymmetric unit:
Cr  0.0000  0.0000  0.0000 x1
Cr  0.1177  0.1444  0.6289 x2
Cr  0.2297  0.2766  0.2553 x2
Cr  0.3797  0.3667  0.8736 x2
Cr  0.5000  0.5000  0.5000 x1
O  0.0698  0.4340  0.6869 x2
F  0.0295  0.0332  0.2805 x2
F  0.0327  0.4121  0.1566 x2
F  0.1854  0.8183  0.5628 x2
F  0.2092  0.8498  0.0965 x2
F  0.2216  0.2199  0.9701 x2
F  0.2756  0.2819  0.5301 x2
F  0.2889  0.6551  0.4038 x2
F  0.3225  0.6840  0.9368 x2
F  0.4450  0.0494  0.8109 x2
F  0.4641  0.0981  0.3459 x2
F  0.4688  0.4763  0.2228 x2

Here is an optimized crystal structure of SrScCl from Alexandria. Energies are from PBEsol.

Its calculated volume is 78.30 Å³/cell. The calculation puts the formation energy from raw total energies at -230.8 kJ/mol of formula units. The energy relative to the lowest polymorph listed for this composition is 0.000 eV per atom. As for the magnetization: 0.025 μB per atom. As for the total energy: -4.282 eV per atom.

abc: 3.6601 3.6601 6.7489
angles: 90.00 90.00 120.00
Space group P3m1 (No. 156)
Asymmetric unit:
Sr  0.0000  0.0000  0.0000 x1
Sc  0.6667  0.3333  0.4247 x1
Cl  0.3333  0.6667  0.6769 x1

Here is an optimized crystal structure of SrHgSb2 from Alexandria. Energies are from PBEsol.

Its calculated volume is 227.94 Å³/cell. The calculation puts the formation energy from raw total energies at -170.3 kJ/mol of formula units. As for the magnetization: 0.000 μB per atom. As for the total energy: -3.322 eV per atom.

abc: 4.2312 5.1762 10.4074
angles: 90.00 90.00 90.00
Space group Imm2 (No. 44)
Asymmetric unit:
Sr  0.0000  0.0000  0.0000 x2
Hg  0.0000  0.5000  0.7850 x2
Sb  0.0000  0.0000  0.5231 x2
Sb  0.0000  0.5000  0.2235 x2